Compound: Pa2CuN2O2
Source: Alexandria via LeMat-Bulk
Functional: GGA-PBE
Structure: optimized geometry

Structure (POSCAR):
```
Pa2CuN2O2
1.0
-3.278 -0.793 -1.706
3.220 -1.478 -1.314
-1.040 -6.892 5.204
Pa Cu N O
2 1 2 2
direct
0.667 0.333 0.329 Pa
0.333 0.667 0.671 Pa
0.000 0.000 0.000 Cu
0.667 0.333 0.592 N
0.333 0.667 0.408 N
0.000 0.000 0.789 O
0.000 0.000 0.211 O
```

Properties
Energy relative to the elements, uncorrected, meV/atom: -2035
DFT total energy, eV per atom: -9.128
Spin magnetization, Bohr magnetons per cell: 0.7